Compound: ErBe6Pd6
Source: the Alexandria database
Functional: GGA-PBE
Structure: optimized geometry

Output
Formation energy, eV per atom: -0.545
Energy, hartree per atom: -0.18420
Volume, Å³/cell: 328.9

a = 4.882 Å, b = 8.161 Å, c = 8.256 Å
α = 90.00°, β = 90.00°, γ = 90.00°
Space group Immm (No. 71)
Unique sites:
Er 0.000 0.000 0.000 [2 per cell]
Be 0.000 0.255 0.500 [4 per cell]
Be 0.250 0.250 0.250 [8 per cell]
Pd 0.000 0.000 0.339 [4 per cell]
Pd 0.000 0.336 0.000 [4 per cell]
Pd 0.000 0.500 0.321 [4 per cell]